Entry 1:
## K3Pm2VSe6 (PBE)

Data for a relaxed K3Pm2VSe6 crystal.

The total energy comes out at -4.982 eV per atom. As for the density of states at the Fermi level: 9.70 states/eV/f.u.

The space group is C2/m (No. 12) and the conventional cell measures 7.215, 12.508 and 8.051 Å, with angles of 90.00, 107.54 and 90.00 degrees. Symmetry generates all atoms from K at (0.000, 0.000, 0.000), K at (0.000, 0.329, 0.000), Pm at (0.000, 0.166, 0.500), V at (0.000, 0.500, 0.500), Se at (0.220, 0.347, 0.701) and Se at (0.237, 0.500, 0.299).


Entry 2:
## KPm2Y3Se6 (PBE)

Data for a relaxed KPm2Y3Se6 crystal.

The total energy comes out at -6.011 eV per atom. As for the density of states at the Fermi level: 3.67 states/eV/f.u.

The space group is C2/m (No. 12) and the conventional cell measures 18.367, 4.132 and 8.517 Å, with angles of 90.00, 104.21 and 90.00 degrees. Symmetry generates all atoms from K at (0.000, 0.000, 0.000), Pm at (0.172, 0.500, 0.347), Y at (0.000, 0.000, 0.500), Y at (0.165, 0.500, 0.824), Se at (0.000, 0.500, 0.268), Se at (0.162, 0.000, 0.590) and Se at (0.174, 0.000, 0.080).